# 1
PmSm6Th3 after structural relaxation. Source: the Alexandria database, functional PBE.

Structure (CIF):
```
data_PmSm6Th3
_chemical_formula_sum 'Pm2 Sm12 Th6'
_cell_length_a 10.572
_cell_length_b 5.706
_cell_length_c 11.529
_cell_angle_alpha 90.00
_cell_angle_beta 95.73
_cell_angle_gamma 90.00
_space_group_name_H-M_alt 'P 1'
_space_group_IT_number 1
_space_group_name_Hall 'P 1'
loop_
_atom_site_label
_atom_site_type_symbol
_atom_site_fract_x
_atom_site_fract_y
_atom_site_fract_z
_atom_site_occupancy
Pm1 Pm 0.041 0.250 0.329 1
Pm2 Pm 0.959 0.750 0.671 1
Sm1 Sm 0.156 0.750 0.188 1
Sm2 Sm 0.159 0.250 0.688 1
Sm3 Sm 0.190 0.750 0.465 1
Sm4 Sm 0.215 0.750 0.916 1
Sm5 Sm 0.346 0.250 0.243 1
Sm6 Sm 0.454 0.250 0.897 1
Sm7 Sm 0.546 0.750 0.103 1
Sm8 Sm 0.654 0.750 0.757 1
Sm9 Sm 0.785 0.250 0.084 1
Sm10 Sm 0.810 0.250 0.535 1
Sm11 Sm 0.841 0.750 0.312 1
Sm12 Sm 0.844 0.250 0.812 1
Th1 Th 0.102 0.250 0.019 1
Th2 Th 0.367 0.750 0.699 1
Th3 Th 0.466 0.250 0.567 1
Th4 Th 0.534 0.750 0.433 1
Th5 Th 0.633 0.250 0.301 1
Th6 Th 0.898 0.750 0.981 1
```



# 2
Pm3Sm2Th after structural relaxation. Source: the Alexandria database, functional PBE.

Calculated values
**Energy above the lowest structure with this stoichiometry**: 0.0366 eV per atom

Structure (CIF):
```
data_Pm3Sm2Th
_chemical_formula_sum 'Pm6 Sm4 Th2'
_cell_length_a 8.624
_cell_length_b 8.624
_cell_length_c 5.604
_cell_angle_alpha 90.00
_cell_angle_beta 90.00
_cell_angle_gamma 103.49
_space_group_name_H-M_alt 'P 1'
_space_group_IT_number 1
_space_group_name_Hall 'P 1'
loop_
_atom_site_label
_atom_site_type_symbol
_atom_site_fract_x
_atom_site_fract_y
_atom_site_fract_z
_atom_site_occupancy
Pm1 Pm 0.012 0.651 0.250 1
Pm2 Pm 0.066 0.934 0.750 1
Pm3 Pm 0.349 0.988 0.250 1
Pm4 Pm 0.651 0.012 0.750 1
Pm5 Pm 0.934 0.066 0.250 1
Pm6 Pm 0.988 0.349 0.750 1
Sm1 Sm 0.271 0.400 0.250 1
Sm2 Sm 0.400 0.271 0.750 1
Sm3 Sm 0.600 0.729 0.250 1
Sm4 Sm 0.729 0.600 0.750 1
Th1 Th 0.318 0.682 0.750 1
Th2 Th 0.682 0.318 0.250 1
```



# 3
Pm4Sm5Th after structural relaxation. Source: the Alexandria database, functional PBE.

Calculated values
**Energy above the lowest structure with this stoichiometry**: 0.0000 eV per atom

Structure (CIF):
```
data_Pm4Sm5Th
_chemical_formula_sum 'Pm4 Sm5 Th1'
_cell_length_a 13.096
_cell_length_b 13.096
_cell_length_c 7.264
_cell_angle_alpha 97.93
_cell_angle_beta 97.93
_cell_angle_gamma 15.99
_space_group_name_H-M_alt 'P 1'
_space_group_IT_number 1
_space_group_name_Hall 'P 1'
loop_
_atom_site_label
_atom_site_type_symbol
_atom_site_fract_x
_atom_site_fract_y
_atom_site_fract_z
_atom_site_occupancy
Pm1 Pm 0.097 0.097 0.293 1
Pm2 Pm 0.299 0.299 0.898 1
Pm3 Pm 0.701 0.701 0.102 1
Pm4 Pm 0.903 0.903 0.707 1
Sm1 Sm 0.097 0.097 0.805 1
Sm2 Sm 0.300 0.300 0.401 1
Sm3 Sm 0.500 0.500 0.500 1
Sm4 Sm 0.700 0.700 0.599 1
Sm5 Sm 0.903 0.903 0.195 1
Th1 Th 0.500 0.500 0.000 1
```



# 4
PmSm2Th after structural relaxation. Source: the Alexandria database, functional PBE.

Calculated values
**Energy above the lowest structure with this stoichiometry**: 0.0110 eV per atom

Structure (CIF):
```
data_PmSm2Th
_chemical_formula_sum 'Pm1 Sm2 Th1'
_cell_length_a 3.614
_cell_length_b 3.614
_cell_length_c 10.303
_cell_angle_alpha 90.00
_cell_angle_beta 90.00
_cell_angle_gamma 90.00
_space_group_name_H-M_alt 'P 1'
_space_group_IT_number 1
_space_group_name_Hall 'P 1'
loop_
_atom_site_label
_atom_site_type_symbol
_atom_site_fract_x
_atom_site_fract_y
_atom_site_fract_z
_atom_site_occupancy
Pm1 Pm 0.000 0.000 0.000 1
Sm1 Sm 0.500 0.500 0.260 1
Sm2 Sm 0.500 0.500 0.740 1
Th1 Th 0.000 0.000 0.500 1
```



# 5
Pm4SmTh2 after structural relaxation. Source: the Alexandria database, functional PBE.

Structure (CIF):
```
data_Pm4SmTh2
_chemical_formula_sum 'Pm4 Sm1 Th2'
_cell_length_a 6.277
_cell_length_b 6.279
_cell_length_c 6.281
_cell_angle_alpha 99.59
_cell_angle_beta 99.48
_cell_angle_gamma 99.59
_space_group_name_H-M_alt 'P 1'
_space_group_IT_number 1
_space_group_name_Hall 'P 1'
loop_
_atom_site_label
_atom_site_type_symbol
_atom_site_fract_x
_atom_site_fract_y
_atom_site_fract_z
_atom_site_occupancy
Pm1 Pm 0.000 0.000 0.000 1
Pm2 Pm 0.138 0.283 0.558 1
Pm3 Pm 0.433 0.862 0.709 1
Pm4 Pm 0.717 0.431 0.855 1
Sm1 Sm 0.295 0.579 0.151 1
Th1 Th 0.582 0.148 0.288 1
Th2 Th 0.850 0.714 0.420 1
```



# 6
Pm3Sm2Th2 after structural relaxation. Source: the Alexandria database, functional PBE.

Structure (CIF):
```
data_Pm3Sm2Th2
_chemical_formula_sum 'Pm3 Sm2 Th2'
_cell_length_a 3.628
_cell_length_b 6.255
_cell_length_c 10.885
_cell_angle_alpha 84.60
_cell_angle_beta 89.99
_cell_angle_gamma 73.16
_space_group_name_H-M_alt 'P 1'
_space_group_IT_number 1
_space_group_name_Hall 'P 1'
loop_
_atom_site_label
_atom_site_type_symbol
_atom_site_fract_x
_atom_site_fract_y
_atom_site_fract_z
_atom_site_occupancy
Pm1 Pm 0.000 0.000 0.000 1
Pm2 Pm 0.143 0.713 0.578 1
Pm3 Pm 0.857 0.287 0.422 1
Sm1 Sm 0.427 0.148 0.718 1
Sm2 Sm 0.573 0.852 0.282 1
Th1 Th 0.284 0.432 0.138 1
Th2 Th 0.716 0.568 0.862 1
```



# 7
PmSm6Th after structural relaxation. Source: the Alexandria database, functional PBE.

Calculated values
**Energy above the lowest structure with this stoichiometry**: 0.0000 eV per atom

Structure (CIF):
```
data_PmSm6Th
_chemical_formula_sum 'Pm1 Sm6 Th1'
_cell_length_a 5.123
_cell_length_b 5.123
_cell_length_c 10.240
_cell_angle_alpha 90.00
_cell_angle_beta 90.00
_cell_angle_gamma 90.00
_space_group_name_H-M_alt 'P 1'
_space_group_IT_number 1
_space_group_name_Hall 'P 1'
loop_
_atom_site_label
_atom_site_type_symbol
_atom_site_fract_x
_atom_site_fract_y
_atom_site_fract_z
_atom_site_occupancy
Pm1 Pm 0.000 0.000 0.000 1
Sm1 Sm 0.000 0.500 0.254 1
Sm2 Sm 0.000 0.500 0.746 1
Sm3 Sm 0.500 0.000 0.254 1
Sm4 Sm 0.500 0.000 0.746 1
Sm5 Sm 0.500 0.500 0.000 1
Sm6 Sm 0.500 0.500 0.500 1
Th1 Th 0.000 0.000 0.500 1
```



# 8
PmSm4Th after structural relaxation. Source: the Alexandria database, functional PBE.

Calculated values
**Energy above the lowest structure with this stoichiometry**: 0.0402 eV per atom

Structure (CIF):
```
data_PmSm4Th
_chemical_formula_sum 'Pm2 Sm8 Th2'
_cell_length_a 10.527
_cell_length_b 10.527
_cell_length_c 5.725
_cell_angle_alpha 90.03
_cell_angle_beta 90.03
_cell_angle_gamma 140.76
_space_group_name_H-M_alt 'P 1'
_space_group_IT_number 1
_space_group_name_Hall 'P 1'
loop_
_atom_site_label
_atom_site_type_symbol
_atom_site_fract_x
_atom_site_fract_y
_atom_site_fract_z
_atom_site_occupancy
Pm1 Pm 0.124 0.876 0.750 1
Pm2 Pm 0.876 0.124 0.250 1
Sm1 Sm 0.041 0.458 0.750 1
Sm2 Sm 0.209 0.292 0.750 1
Sm3 Sm 0.292 0.209 0.250 1
Sm4 Sm 0.458 0.041 0.250 1
Sm5 Sm 0.542 0.959 0.750 1
Sm6 Sm 0.708 0.791 0.750 1
Sm7 Sm 0.791 0.708 0.250 1
Sm8 Sm 0.959 0.542 0.250 1
Th1 Th 0.374 0.626 0.250 1
Th2 Th 0.626 0.374 0.750 1
```



# 9
PmSm4Th2 after structural relaxation. Source: the Alexandria database, functional PBE.

Calculated values
**Energy above the lowest structure with this stoichiometry**: 0.0000 eV per atom

Structure (CIF):
```
data_PmSm4Th2
_chemical_formula_sum 'Pm1 Sm4 Th2'
_cell_length_a 5.676
_cell_length_b 5.627
_cell_length_c 7.846
_cell_angle_alpha 90.00
_cell_angle_beta 96.76
_cell_angle_gamma 90.00
_space_group_name_H-M_alt 'P 1'
_space_group_IT_number 1
_space_group_name_Hall 'P 1'
loop_
_atom_site_label
_atom_site_type_symbol
_atom_site_fract_x
_atom_site_fract_y
_atom_site_fract_z
_atom_site_occupancy
Pm1 Pm 0.000 0.000 0.000 1
Sm1 Sm 0.091 0.500 0.291 1
Sm2 Sm 0.496 0.000 0.722 1
Sm3 Sm 0.504 0.000 0.278 1
Sm4 Sm 0.909 0.500 0.709 1
Th1 Th 0.000 0.000 0.500 1
Th2 Th 0.500 0.500 0.000 1
```



# 10
Pm12Sm5Th2 after structural relaxation. Source: the Alexandria database, functional PBE.

Calculated values
**Energy above the lowest structure with this stoichiometry**: 0.0000 eV per atom

Structure (CIF):
```
data_Pm12Sm5Th2
_chemical_formula_sum 'Pm12 Sm5 Th2'
_cell_length_a 6.722
_cell_length_b 8.904
_cell_length_c 11.875
_cell_angle_alpha 110.50
_cell_angle_beta 93.54
_cell_angle_gamma 96.67
_space_group_name_H-M_alt 'P 1'
_space_group_IT_number 1
_space_group_name_Hall 'P 1'
loop_
_atom_site_label
_atom_site_type_symbol
_atom_site_fract_x
_atom_site_fract_y
_atom_site_fract_z
_atom_site_occupancy
Pm1 Pm 0.020 0.251 0.380 1
Pm2 Pm 0.056 0.854 0.233 1
Pm3 Pm 0.228 0.899 0.955 1
Pm4 Pm 0.283 0.325 0.137 1
Pm5 Pm 0.337 0.630 0.412 1
Pm6 Pm 0.473 0.298 0.866 1
Pm7 Pm 0.527 0.702 0.134 1
Pm8 Pm 0.663 0.370 0.588 1
Pm9 Pm 0.717 0.675 0.863 1
Pm10 Pm 0.772 0.101 0.045 1
Pm11 Pm 0.944 0.146 0.767 1
Pm12 Pm 0.980 0.749 0.620 1
Sm1 Sm 0.000 0.500 0.000 1
Sm2 Sm 0.197 0.487 0.708 1
Sm3 Sm 0.486 0.128 0.295 1
Sm4 Sm 0.514 0.872 0.705 1
Sm5 Sm 0.803 0.513 0.292 1
Th1 Th 0.263 0.056 0.542 1
Th2 Th 0.737 0.944 0.458 1
```



Number 1: N(E_F) 1.342 states/eV/atom, DFT formation energy 1.67 eV/f.u.. Number 2: N(E_F) 1.597 states/eV/atom, DFT formation energy 0.43 eV/f.u.. Number 3: N(E_F) 1.415 states/eV/atom, DFT formation energy 0.23 eV/f.u.. Number 4: N(E_F) 1.193 states/eV/atom, DFT formation energy 0.12 eV/f.u.. Number 5: N(E_F) 1.471 states/eV/atom, DFT formation energy 0.38 eV/f.u.. Number 6: N(E_F) 1.549 states/eV/atom, DFT formation energy 0.27 eV/f.u.. Number 7: N(E_F) 1.344 states/eV/atom, DFT formation energy 0.25 eV/f.u.. Number 8: N(E_F) 1.536 states/eV/atom, DFT formation energy 0.44 eV/f.u.. Number 9: N(E_F) 1.672 states/eV/atom, DFT formation energy 2.54 eV/f.u.. Number 10: N(E_F) 1.363 states/eV/atom, DFT formation energy 1.78 eV/f.u..